Co2PbCl6 after structural relaxation. Source: Alexandria via LeMat-Bulk, functional GGA-PBE.

a b c (Å): 3.861 6.827 10.823
angles (deg): 96.91 90.00 106.43
Last column: magnetic moment on the atom in μB.
Fractional coordinates of all 9 atoms:
Cl: 0.846 0.693 0.875  0.16
Cl: 0.359 0.717 0.588  0.07
Cl: 0.120 0.241 0.741  0.11
Cl: 0.641 0.283 0.412  0.07
Cl: 0.154 0.307 0.125  0.16
Cl: 0.880 0.759 0.259  0.11
Pb: 0.000 0.000 0.500  0.02
Co: 0.291 0.582 0.774  2.45
Co: 0.709 0.418 0.226  2.45

Crystal system: monoclinic
E, eV/cell: -35.4
Spin magnetization, μB/f.u.: 6.000
Formation energy (no corrections), meV per atom: -708

---

Pa2GaCu after structural relaxation. Source: Alexandria via LeMat-Bulk, functional GGA-PBE.

a b c (Å): 4.343 4.313 4.313
angles (deg): 90.00 90.00 90.00
Fractional coordinates of all 4 atoms:
Cu: 0.500 0.000 0.000
Pa: 0.000 0.000 0.500
Pa: 0.000 0.500 0.000
Ga: 0.500 0.500 0.500

Crystal system: tetragonal
DFT formation energy, eV/atom: -0.10
E, eV/cell: -26.5
Spin magnetization, μB/f.u.: 0.000
Relative energy among the computed polymorphs, kJ per mole of atoms: 0.0

---

Sr2TlZnCu after structural relaxation. Source: Alexandria via LeMat-Bulk, functional GGA-PBE.

a b c (Å): 5.890 5.890 4.641
angles (deg): 90.00 90.00 90.00
Fractional coordinates of all 5 atoms:
Cu: 0.000 0.000 0.000
Sr: 0.000 0.500 0.000
Sr: 0.500 0.000 0.000
Tl: 0.500 0.500 0.500
Zn: 0.000 0.000 0.500

Crystal system: tetragonal
DFT formation energy, eV/atom: -0.10
E, eV/cell: -11.6
Spin magnetization, μB/f.u.: 0.000